Entry 1:
This record from Alexandria describes crystalline TbPrSb2 at its relaxed geometry. The functional is PBE.

total DFT energy (no corrections)	-21.82	eV/f.u.
density of states at the Fermi level	0.40	states/eV/f.u.
SG	R3m (160)

Cell lengths 4.4478, 4.4478, 22.8143 Å; angles 90.00, 90.00, 120.00 degrees
Fractional positions:
1 Tb 0.0000 0.0000 0.0000
2 Tb 0.3333 0.6667 0.6667
3 Tb 0.6667 0.3333 0.3333
4 Pr 0.0000 0.0000 0.1711
5 Pr 0.3333 0.6667 0.8378
6 Pr 0.6667 0.3333 0.5044
7 Sb 0.0000 0.0000 0.5872
8 Sb 0.0000 0.0000 0.7502
9 Sb 0.3333 0.6667 0.2538
10 Sb 0.3333 0.6667 0.4168
11 Sb 0.6667 0.3333 0.0835
12 Sb 0.6667 0.3333 0.9205

***

Entry 2:
This record from Alexandria describes crystalline Be2RuW at its relaxed geometry. The functional is PBE.

density of states at the Fermi level	2.26	states/eV/f.u.
calculated formation energy	0.59	eV per formula unit
SG	C2/m (12)

Cell lengths 8.4507, 2.9139, 4.3681 Å; angles 90.00, 113.28, 90.00 degrees
Fractional positions:
1 Be 0.2405 0.0000 0.2040
2 Be 0.2595 0.5000 0.7960
3 Be 0.7405 0.5000 0.2040
4 Be 0.7595 0.0000 0.7960
5 Ru 0.0000 0.5000 0.0000
6 Ru 0.5000 0.0000 0.0000
7 W 0.0000 0.0000 0.5000
8 W 0.5000 0.5000 0.5000